The following is a PBEsol calculation of MnTl2SnTe4 after structural relaxation, from Alexandria via LeMat-Bulk.

Uncorrected formation energy in eV per atom: -0.15
Calculated volume in Å³ per cell: 242.1
SG: I-42m

Geometry as POSCAR:
```
MnTl2SnTe4
1.0
-2.5845 1.9822 6.0329
-4.0280 -0.1037 -5.5470
1.8016 -6.5458 0.9546
Te Mn Tl Sn
4 1 2 1
direct
0.4395 0.0763 0.0000
0.0763 0.4395 0.0000
0.9237 0.9237 0.3632
0.5605 0.5605 0.6368
0.5000 0.5000 0.0000
0.0000 0.5000 0.5000
0.5000 0.0000 0.5000
0.0000 0.0000 0.0000
```